# 1
A plane-wave DFT calculation with PBEsol was carried out for crystalline LiLa2Mg at its relaxed geometry.

For the energy above the lowest structure with this stoichiometry, the calculation gives 35.1 meV per atom. The value obtained for the magnetization is 0.0000 μB per atom. The total energy is -3.55 eV per atom. Its space-group type is Pmm2 (25).

Cell lengths 3.436, 4.573, 6.991 Å; angles 90.00, 90.00, 90.00 degrees
Sites, in units of the cell vectors:
La: 0.000 0.000 0.009
La: 0.500 0.500 0.237
Li: 0.000 0.000 0.519
Mg: 0.500 0.500 0.735



# 2
A plane-wave DFT calculation with PBEsol was carried out for crystalline CaGeN2 at its relaxed geometry.

The value obtained for the magnetization is 0.0000 μB per atom. The total energy is -6.62 eV per atom. Its space-group type is P4/nmm (129). The value obtained for the raw formation energy is -0.593 eV/atom.

Cell lengths 3.664, 3.664, 7.655 Å; angles 90.00, 90.00, 90.00 degrees
Sites, in units of the cell vectors:
Ca: 0.000 0.500 0.142
Ca: 0.500 0.000 0.858
Ge: 0.000 0.500 0.605
Ge: 0.500 0.000 0.395
N: 0.000 0.000 0.500
N: 0.500 0.500 0.500
N: 0.000 0.500 0.842
N: 0.500 0.000 0.158



# 3
A plane-wave DFT calculation with PBEsol was carried out for crystalline Cd2PbAu at its relaxed geometry.

The value obtained for the magnetization is 0.0000 μB per atom. The total energy is -2.62 eV per atom. Its space-group type is P4/mmm (123).

Cell lengths 3.302, 3.305, 8.106 Å; angles 90.00, 90.00, 90.00 degrees
Sites, in units of the cell vectors:
Pb: 0.500 0.500 0.000
Au: 0.500 0.500 0.500
Cd: 0.000 0.000 0.705
Cd: 0.000 0.000 0.295



# 4
A plane-wave DFT calculation with PBEsol was carried out for crystalline CrFe2P at its relaxed geometry.

The value obtained for the magnetization is 0.0002 μB per atom. The total energy is -8.69 eV per atom. Its space-group type is P2/m (10).

Cell lengths 2.530, 3.636, 4.692 Å; angles 90.00, 105.39, 90.00 degrees
Sites, in units of the cell vectors:
Cr: 0.500 0.500 0.500
Fe: 0.127 0.000 0.761
Fe: 0.873 0.000 0.239
P: 0.500 0.500 0.000